<i>
Density functional theory data (GGA-PBE) for CuSbTeI2 after structural relaxation.

It has space group P4/mmm (No. 123), with a = 5.2405 Å, b = 5.2405 Å, c = 5.4122 Å, α = 90.00°, β = 90.00° and γ = 90.00°. The inequivalent atoms are Cu at (0.0000, 0.0000, 0.0000), Sb at (0.0000, 0.0000, 0.5000), Te at (0.5000, 0.5000, 0.5000) and I at (0.0000, 0.5000, 0.0000).

The calculation puts the density of states at the Fermi level at 5.5 states/eV/f.u. The calculated volume comes out at 29.727 Å³/atom.


<ii>
Density functional theory data (GGA-PBE) for CuSbTeI2 after structural relaxation.

It has space group P4/mmm (No. 123), with a = 5.2560 Å, b = 5.2560 Å, c = 5.3759 Å, α = 90.00°, β = 90.00° and γ = 90.00°. The inequivalent atoms are Cu at (0.0000, 0.0000, 0.0000), Sb at (0.5000, 0.5000, 0.5000), Te at (0.0000, 0.0000, 0.5000) and I at (0.0000, 0.5000, 0.0000).

The calculation puts the density of states at the Fermi level at 4.4 states/eV/f.u. The calculated volume comes out at 29.702 Å³/atom.


Decreasing stability: <ii>, <i>